The following is a PBE calculation of crystalline Ce3PrY2N6 at its relaxed geometry, from Alexandria.

Summary:
The space-group type is No. 12. As for the final energy: -8.6482 eV per atom. The uncorrected formation energy comes out at -147.3 kJ per mole of atoms.

abc: 6.1688 6.1688 6.1486
angles: 99.63 99.63 119.99
Sites, in units of the cell vectors:
1 Ce 0.0000 0.0000 0.0000
2 Ce 0.3331 0.6669 0.0000
3 Ce 0.6669 0.3331 0.0000
4 Pr 0.5000 0.5000 0.5000
5 Y 0.1667 0.8333 0.5000
6 Y 0.8333 0.1667 0.5000
7 N 0.0692 0.4144 0.2434
8 N 0.2395 0.2395 0.7549
9 N 0.4144 0.0692 0.2434
10 N 0.5856 0.9308 0.7566
11 N 0.7605 0.7605 0.2451
12 N 0.9308 0.5856 0.7566

---

The following is a PBE calculation of crystalline ScPa2As2N2 at its relaxed geometry, from Alexandria.

Summary:
The space-group type is No. 12. As for the final energy: -8.8444 eV per atom. The uncorrected formation energy comes out at -146.6 kJ per mole of atoms.

abc: 6.1026 6.1026 6.8429
angles: 120.51 120.51 36.82
Sites, in units of the cell vectors:
1 Sc 0.0000 0.0000 0.0000
2 Pa 0.1913 0.1913 0.7403
3 Pa 0.8087 0.8087 0.2597
4 As 0.4346 0.4346 0.6669
5 As 0.5654 0.5654 0.3331
6 N 0.2091 0.2091 0.0875
7 N 0.7909 0.7909 0.9125

---

The following is a PBE calculation of crystalline Dy6Y3TmTh2 at its relaxed geometry, from Alexandria.

Summary:
The space-group type is No. 12. Its calculated formation energy is 24 meV per atom. As for the final energy: -5.5023 eV per atom.

abc: 6.1523 6.1523 11.7887
angles: 95.00 95.00 119.96
Sites, in units of the cell vectors:
1 Dy 0.0815 0.4173 0.7533
2 Dy 0.2465 0.2465 0.2471
3 Dy 0.4173 0.0815 0.7533
4 Dy 0.5827 0.9185 0.2467
5 Dy 0.7535 0.7535 0.7529
6 Dy 0.9185 0.5827 0.2467
7 Y 0.0000 0.0000 0.5000
8 Y 0.3336 0.6664 0.5000
9 Y 0.6664 0.3336 0.5000
10 Tm 0.5000 0.5000 0.0000
11 Th 0.1666 0.8334 0.0000
12 Th 0.8334 0.1666 0.0000

---

The following is a PBE calculation of crystalline Mg5ZnIn at its relaxed geometry, from Alexandria.

Summary:
The space-group type is No. 123. Its calculated formation energy is -16 meV per atom. The relative energy among the computed polymorphs comes out at 0 meV per atom. As for the final energy: -1.7283 eV per atom.

abc: 4.5666 4.5666 7.6181
angles: 90.00 90.00 90.00
Sites, in units of the cell vectors:
1 Mg 0.0000 0.0000 0.0000
2 Mg 0.0000 0.5000 0.2922
3 Mg 0.0000 0.5000 0.7078
4 Mg 0.5000 0.0000 0.2922
5 Mg 0.5000 0.0000 0.7078
6 Zn 0.5000 0.5000 0.5000
7 In 0.5000 0.5000 0.0000

---

The following is a PBE calculation of crystalline SrYZr2 at its relaxed geometry, from Alexandria.

Summary:
The space-group type is No. 225. Its calculated formation energy is 617 meV per atom. The relative energy among the computed polymorphs comes out at 387 meV per atom. As for the final energy: -5.6937 eV per atom.

abc: 5.5108 5.5108 5.5108
angles: 60.00 60.00 60.00
Sites, in units of the cell vectors:
1 Sr 0.0000 0.0000 0.0000
2 Y 0.5000 0.5000 0.5000
3 Zr 0.2500 0.2500 0.2500
4 Zr 0.7500 0.7500 0.7500

---

The following is a PBE calculation of crystalline BaAc2Ag2Pb2 at its relaxed geometry, from Alexandria.

Summary:
The space-group type is No. 166. Its calculated formation energy is -323 meV per atom. As for the final energy: -3.6454 eV per atom.

abc: 10.3844 10.3844 10.3844
angles: 29.40 29.40 29.40
Sites, in units of the cell vectors:
1 Ba 0.0000 0.0000 0.0000
2 Ac 0.1366 0.1366 0.1366
3 Ac 0.8634 0.8634 0.8634
4 Ag 0.4419 0.4419 0.4419
5 Ag 0.5581 0.5581 0.5581
6 Pb 0.2584 0.2584 0.2584
7 Pb 0.7416 0.7416 0.7416